[1]
First-principles (PBE) data for crystalline TiPOs at its relaxed geometry, as listed in the Alexandria database.

The structure in CIF format:
```
data_TiPOs
_chemical_formula_sum 'Ti3 P3 Os3'
_cell_length_a 6.2571
_cell_length_b 6.2571
_cell_length_c 3.7233
_cell_angle_alpha 90.00
_cell_angle_beta 90.00
_cell_angle_gamma 120.00
_symmetry_space_group_name_H-M 'P -6 2 m'
_symmetry_Int_Tables_number 189
_symmetry_space_group_name_Hall 'P -6 -2'
loop_
_atom_site_label
_atom_site_type_symbol
_atom_site_fract_x
_atom_site_fract_y
_atom_site_fract_z
Ti1 Ti 0.0000 0.5834 0.0000
P1 P 0.0000 0.0000 0.0000
P2 P 0.3333 0.6667 0.5000
Os1 Os 0.0000 0.2528 0.5000
```

Values from the calculation:
As for the uncorrected energy: -9.004 eV/atom. The density of states at the Fermi level is 9.43 states/eV per cell. The energy of formation is -79.7 kJ/mol of atoms.

=====

[2]
First-principles (PBE) data for crystalline Ti3POs at its relaxed geometry, as listed in the Alexandria database.

The structure in CIF format:
```
data_Ti3POs
_chemical_formula_sum 'Ti3 P1 Os1'
_cell_length_a 4.4302
_cell_length_b 4.4302
_cell_length_c 4.4302
_cell_angle_alpha 90.00
_cell_angle_beta 90.00
_cell_angle_gamma 90.00
_symmetry_space_group_name_H-M 'P m -3 m'
_symmetry_Int_Tables_number 221
_symmetry_space_group_name_Hall '-P 4 2 3'
loop_
_atom_site_label
_atom_site_type_symbol
_atom_site_fract_x
_atom_site_fract_y
_atom_site_fract_z
Ti1 Ti 0.0000 0.0000 0.5000
P1 P 0.0000 0.0000 0.0000
Os1 Os 0.5000 0.5000 0.5000
```

Values from the calculation:
As for the uncorrected energy: -7.977 eV/atom. The density of states at the Fermi level is 8.62 states/eV per cell. Its distance to the lowest polymorph of the same formula is 0.0 meV per atom. The energy of formation is 8.5 kJ/mol of atoms.

=====

[3]
First-principles (PBE) data for crystalline TiPOs3 at its relaxed geometry, as listed in the Alexandria database.

The structure in CIF format:
```
data_TiPOs3
_chemical_formula_sum 'Ti1 P1 Os3'
_cell_length_a 4.5452
_cell_length_b 4.5452
_cell_length_c 4.5452
_cell_angle_alpha 90.00
_cell_angle_beta 90.00
_cell_angle_gamma 90.00
_symmetry_space_group_name_H-M 'P m -3 m'
_symmetry_Int_Tables_number 221
_symmetry_space_group_name_Hall '-P 4 2 3'
loop_
_atom_site_label
_atom_site_type_symbol
_atom_site_fract_x
_atom_site_fract_y
_atom_site_fract_z
Ti1 Ti 0.0000 0.0000 0.0000
P1 P 0.5000 0.5000 0.5000
Os1 Os 0.0000 0.0000 0.5000
```

Values from the calculation:
As for the uncorrected energy: -7.294 eV/atom. The density of states at the Fermi level is 6.11 states/eV per cell. Its distance to the lowest polymorph of the same formula is 1581.0 meV per atom. The energy of formation is 203.1 kJ/mol of atoms.

=====

[4]
First-principles (PBE) data for crystalline TiP2Os at its relaxed geometry, as listed in the Alexandria database.

The structure in CIF format:
```
data_TiP2Os
_chemical_formula_sum 'Ti4 P8 Os4'
_cell_length_a 4.9973
_cell_length_b 4.9973
_cell_length_c 12.2847
_cell_angle_alpha 90.00
_cell_angle_beta 90.00
_cell_angle_gamma 90.00
_symmetry_space_group_name_H-M 'I -4 2 d'
_symmetry_Int_Tables_number 122
_symmetry_space_group_name_Hall 'I -4 2bw'
loop_
_atom_site_label
_atom_site_type_symbol
_atom_site_fract_x
_atom_site_fract_y
_atom_site_fract_z
Ti1 Ti 0.0000 0.0000 0.0000
P1 P 0.2204 0.2500 0.6250
Os1 Os 0.0000 0.0000 0.5000
```

Values from the calculation:
As for the uncorrected energy: -7.660 eV/atom. The density of states at the Fermi level is 13.06 states/eV per cell. The energy of formation is -16.8 kJ/mol of atoms.

=====

[5]
First-principles (PBE) data for crystalline Ti3POs at its relaxed geometry, as listed in the Alexandria database.

The structure in CIF format:
```
data_Ti3POs
_chemical_formula_sum 'Ti3 P1 Os1'
_cell_length_a 4.7062
_cell_length_b 4.7062
_cell_length_c 4.7062
_cell_angle_alpha 90.00
_cell_angle_beta 90.00
_cell_angle_gamma 90.00
_symmetry_space_group_name_H-M 'P m -3 m'
_symmetry_Int_Tables_number 221
_symmetry_space_group_name_Hall '-P 4 2 3'
loop_
_atom_site_label
_atom_site_type_symbol
_atom_site_fract_x
_atom_site_fract_y
_atom_site_fract_z
Ti1 Ti 0.0000 0.0000 0.5000
P1 P 0.5000 0.5000 0.5000
Os1 Os 0.0000 0.0000 0.0000
```

Values from the calculation:
As for the uncorrected energy: -7.562 eV/atom. The density of states at the Fermi level is 6.05 states/eV per cell. Its distance to the lowest polymorph of the same formula is 415.2 meV per atom. The energy of formation is 48.6 kJ/mol of atoms.

=====

[6]
First-principles (PBE) data for crystalline Tl3POs at its relaxed geometry, as listed in the Alexandria database.

The structure in CIF format:
```
data_Tl3POs
_chemical_formula_sum 'Tl3 P1 Os1'
_cell_length_a 5.3044
_cell_length_b 5.3044
_cell_length_c 5.3044
_cell_angle_alpha 90.00
_cell_angle_beta 90.00
_cell_angle_gamma 90.00
_symmetry_space_group_name_H-M 'P m -3 m'
_symmetry_Int_Tables_number 221
_symmetry_space_group_name_Hall '-P 4 2 3'
loop_
_atom_site_label
_atom_site_type_symbol
_atom_site_fract_x
_atom_site_fract_y
_atom_site_fract_z
Tl1 Tl 0.0000 0.0000 0.5000
P1 P 0.5000 0.5000 0.5000
Os1 Os 0.0000 0.0000 0.0000
```

Values from the calculation:
As for the uncorrected energy: -3.854 eV/atom. The density of states at the Fermi level is 5.01 states/eV per cell. Its distance to the lowest polymorph of the same formula is 0.0 meV per atom. The energy of formation is 86.2 kJ/mol of atoms.

=====

[7]
First-principles (PBE) data for crystalline TlP2Os at its relaxed geometry, as listed in the Alexandria database.

The structure in CIF format:
```
data_TlP2Os
_chemical_formula_sum 'Tl2 P4 Os2'
_cell_length_a 4.1085
_cell_length_b 4.1085
_cell_length_c 8.0175
_cell_angle_alpha 90.00
_cell_angle_beta 90.00
_cell_angle_gamma 90.00
_symmetry_space_group_name_H-M 'I -4 m 2'
_symmetry_Int_Tables_number 119
_symmetry_space_group_name_Hall 'I -4 -2'
loop_
_atom_site_label
_atom_site_type_symbol
_atom_site_fract_x
_atom_site_fract_y
_atom_site_fract_z
Tl1 Tl 0.0000 0.0000 0.0000
P1 P 0.0000 0.0000 0.5000
P2 P 0.0000 0.5000 0.2500
Os1 Os 0.0000 0.5000 0.7500
```

Values from the calculation:
As for the uncorrected energy: -5.042 eV/atom. The density of states at the Fermi level is 4.83 states/eV per cell. Its distance to the lowest polymorph of the same formula is 986.1 meV per atom. The energy of formation is 102.5 kJ/mol of atoms.

=====

[8]
First-principles (PBE) data for crystalline TlPOs3 at its relaxed geometry, as listed in the Alexandria database.

The structure in CIF format:
```
data_TlPOs3
_chemical_formula_sum 'Tl1 P1 Os3'
_cell_length_a 4.4211
_cell_length_b 4.4211
_cell_length_c 4.4211
_cell_angle_alpha 90.00
_cell_angle_beta 90.00
_cell_angle_gamma 90.00
_symmetry_space_group_name_H-M 'P m -3 m'
_symmetry_Int_Tables_number 221
_symmetry_space_group_name_Hall '-P 4 2 3'
loop_
_atom_site_label
_atom_site_type_symbol
_atom_site_fract_x
_atom_site_fract_y
_atom_site_fract_z
Tl1 Tl 0.0000 0.0000 0.0000
P1 P 0.5000 0.5000 0.5000
Os1 Os 0.0000 0.5000 0.5000
```

Values from the calculation:
As for the uncorrected energy: -7.298 eV/atom. The density of states at the Fermi level is 2.51 states/eV per cell. Its distance to the lowest polymorph of the same formula is 0.0 meV per atom. The energy of formation is 96.0 kJ/mol of atoms.

=====

[9]
First-principles (PBE) data for crystalline TlP2Os at its relaxed geometry, as listed in the Alexandria database.

The structure in CIF format:
```
data_TlP2Os
_chemical_formula_sum 'Tl1 P2 Os1'
_cell_length_a 4.5994
_cell_length_b 4.5994
_cell_length_c 3.1793
_cell_angle_alpha 90.00
_cell_angle_beta 90.00
_cell_angle_gamma 90.00
_symmetry_space_group_name_H-M 'P 4/m m m'
_symmetry_Int_Tables_number 123
_symmetry_space_group_name_Hall '-P 4 2'
loop_
_atom_site_label
_atom_site_type_symbol
_atom_site_fract_x
_atom_site_fract_y
_atom_site_fract_z
Tl1 Tl 0.0000 0.0000 0.0000
P1 P 0.0000 0.5000 0.5000
Os1 Os 0.5000 0.5000 0.0000
```

Values from the calculation:
As for the uncorrected energy: -5.062 eV/atom. The density of states at the Fermi level is 3.92 states/eV per cell. Its distance to the lowest polymorph of the same formula is 965.5 meV per atom. The energy of formation is 100.5 kJ/mol of atoms.

=====

[10]
First-principles (PBE) data for crystalline TlP2Os at its relaxed geometry, as listed in the Alexandria database.

The structure in CIF format:
```
data_TlP2Os
_chemical_formula_sum 'Tl2 P4 Os2'
_cell_length_a 2.9835
_cell_length_b 3.0275
_cell_length_c 17.0202
_cell_angle_alpha 90.00
_cell_angle_beta 90.00
_cell_angle_gamma 90.00
_symmetry_space_group_name_H-M 'I m m 2'
_symmetry_Int_Tables_number 44
_symmetry_space_group_name_Hall 'I 2 -2'
loop_
_atom_site_label
_atom_site_type_symbol
_atom_site_fract_x
_atom_site_fract_y
_atom_site_fract_z
Tl1 Tl 0.0000 0.0000 0.0000
P1 P 0.0000 0.0000 0.3476
P2 P 0.0000 0.5000 0.1661
Os1 Os 0.0000 0.5000 0.7379
```

Values from the calculation:
As for the uncorrected energy: -5.978 eV/atom. The density of states at the Fermi level is 3.79 states/eV per cell. Its distance to the lowest polymorph of the same formula is 50.0 meV per atom. The energy of formation is 12.2 kJ/mol of atoms.

=====

[11]
First-principles (PBE) data for crystalline TlP2Os at its relaxed geometry, as listed in the Alexandria database.

The structure in CIF format:
```
data_TlP2Os
_chemical_formula_sum 'Tl1 P2 Os1'
_cell_length_a 2.9393
_cell_length_b 2.9393
_cell_length_c 8.8956
_cell_angle_alpha 90.00
_cell_angle_beta 90.00
_cell_angle_gamma 90.00
_symmetry_space_group_name_H-M 'P 4/m m m'
_symmetry_Int_Tables_number 123
_symmetry_space_group_name_Hall '-P 4 2'
loop_
_atom_site_label
_atom_site_type_symbol
_atom_site_fract_x
_atom_site_fract_y
_atom_site_fract_z
Tl1 Tl 0.0000 0.0000 0.0000
P1 P 0.5000 0.5000 0.3341
Os1 Os 0.0000 0.0000 0.5000
```

Values from the calculation:
As for the uncorrected energy: -5.950 eV/atom. The density of states at the Fermi level is 2.66 states/eV per cell. Its distance to the lowest polymorph of the same formula is 78.2 meV per atom. The energy of formation is 14.9 kJ/mol of atoms.

=====

[12]
First-principles (PBE) data for crystalline TlP2Os at its relaxed geometry, as listed in the Alexandria database.

The structure in CIF format:
```
data_TlP2Os
_chemical_formula_sum 'Tl1 P2 Os1'
_cell_length_a 3.5729
_cell_length_b 4.2737
_cell_length_c 5.2316
_cell_angle_alpha 90.00
_cell_angle_beta 103.90
_cell_angle_gamma 90.00
_symmetry_space_group_name_H-M 'P 1 2/m 1'
_symmetry_Int_Tables_number 10
_symmetry_space_group_name_Hall '-P 2y'
loop_
_atom_site_label
_atom_site_type_symbol
_atom_site_fract_x
_atom_site_fract_y
_atom_site_fract_z
Tl1 Tl 0.0000 0.0000 0.0000
P1 P 0.2899 0.5000 0.6383
Os1 Os 0.5000 0.0000 0.5000
```

Values from the calculation:
As for the uncorrected energy: -5.774 eV/atom. The density of states at the Fermi level is 2.26 states/eV per cell. Its distance to the lowest polymorph of the same formula is 253.3 meV per atom. The energy of formation is 31.8 kJ/mol of atoms.

=====

[13]
First-principles (PBE) data for crystalline Tl3POs at its relaxed geometry, as listed in the Alexandria database.

The structure in CIF format:
```
data_Tl3POs
_chemical_formula_sum 'Tl3 P1 Os1'
_cell_length_a 5.2254
_cell_length_b 5.2254
_cell_length_c 5.2254
_cell_angle_alpha 90.00
_cell_angle_beta 90.00
_cell_angle_gamma 90.00
_symmetry_space_group_name_H-M 'P m -3 m'
_symmetry_Int_Tables_number 221
_symmetry_space_group_name_Hall '-P 4 2 3'
loop_
_atom_site_label
_atom_site_type_symbol
_atom_site_fract_x
_atom_site_fract_y
_atom_site_fract_z
Tl1 Tl 0.0000 0.0000 0.5000
P1 P 0.0000 0.0000 0.0000
Os1 Os 0.5000 0.5000 0.5000
```

Values from the calculation:
As for the uncorrected energy: -3.291 eV/atom. The density of states at the Fermi level is 5.51 states/eV per cell. Its distance to the lowest polymorph of the same formula is 563.1 meV per atom. The energy of formation is 140.5 kJ/mol of atoms.

=====

[14]
First-principles (PBE) data for crystalline TlP2Os at its relaxed geometry, as listed in the Alexandria database.

The structure in CIF format:
```
data_TlP2Os
_chemical_formula_sum 'Tl1 P2 Os1'
_cell_length_a 3.2659
_cell_length_b 4.4589
_cell_length_c 4.6726
_cell_angle_alpha 90.00
_cell_angle_beta 90.00
_cell_angle_gamma 90.00
_symmetry_space_group_name_H-M 'P m m m'
_symmetry_Int_Tables_number 47
_symmetry_space_group_name_Hall '-P 2 2'
loop_
_atom_site_label
_atom_site_type_symbol
_atom_site_fract_x
_atom_site_fract_y
_atom_site_fract_z
Tl1 Tl 0.0000 0.0000 0.0000
P1 P 0.0000 0.5000 0.5000
P2 P 0.5000 0.0000 0.5000
Os1 Os 0.5000 0.5000 0.0000
```

Values from the calculation:
As for the uncorrected energy: -5.052 eV/atom. The density of states at the Fermi level is 2.26 states/eV per cell. Its distance to the lowest polymorph of the same formula is 976.2 meV per atom. The energy of formation is 101.5 kJ/mol of atoms.